(1)
Li2TiMn2O6 | PBEsol | relaxed

As for the raw formation energy: -2.098 eV/atom.

The space group is Cmce (No. 64) and the conventional cell measures 8.5238, 5.3788 and 10.0644 Å, with angles of 90.00, 90.00 and 90.00 degrees. The asymmetric unit holds Li at (0.2500, 0.1510, 0.2500), Ti at (0.0000, 0.0000, 0.0000), Mn at (0.1649, 0.0000, 0.5000), O at (0.0000, 0.1702, 0.5905) and O at (0.1732, 0.1197, 0.8878).

(2)
Lu2InHg | PBEsol | relaxed

For the calculated formation energy, the calculation gives -500 meV per atom. The calculation puts the density of states at the Fermi level at 11.56 states/eV/cell.

The space group is Fm-3m (No. 225) and the conventional cell measures 7.2166, 7.2166 and 7.2166 Å, with angles of 90.00, 90.00 and 90.00 degrees. The asymmetric unit holds Lu at (0.2500, 0.2500, 0.2500), In at (0.0000, 0.0000, 0.0000) and Hg at (0.0000, 0.0000, 0.5000).

(3)
AlCoNi6 | PBEsol | relaxed

For the calculated formation energy, the calculation gives -205 meV per atom. The calculation puts the density of states at the Fermi level at 80.47 states/eV/cell. The excess energy over the best structure of this formula in the dataset is 3 meV per atom.

The space group is Cmmm (No. 65) and the conventional cell measures 6.9722, 9.8726 and 9.8750 Å, with angles of 90.00, 90.00 and 90.00 degrees. The asymmetric unit holds Al at (0.0000, 0.0000, 0.2497), Al at (0.0000, 0.2479, 0.0000), Co at (0.0000, 0.2480, 0.5000), Co at (0.0000, 0.5000, 0.2510), Ni at (0.0000, 0.0000, 0.0000), Ni at (0.0000, 0.0000, 0.5000), Ni at (0.0000, 0.2515, 0.2541), Ni at (0.0000, 0.5000, 0.0000), Ni at (0.0000, 0.5000, 0.5000), Ni at (0.2463, 0.3760, 0.1268) and Ni at (0.2471, 0.3740, 0.3766).

no.,calculated total energy (eV for the cell shown)
1,-345.429
2,-61.180
3,-403.306